[1]
The following is a DFT calculation (PBE) of crystalline SiAsPd6 at its relaxed geometry.

Geometry as extended XYZ:
```
8
Lattice="5.949 0.007 0.017 2.968 5.156 0.020 2.960 1.711 4.269" Properties=species:S:1:pos:R:3 pbc="T T T"
Si 0.000 0.000 0.000
As 5.938 3.437 2.153
Pd 3.762 3.669 3.242
Pd 6.819 1.435 3.245
Pd 4.652 1.674 1.051
Pd 5.058 5.439 1.061
Pd 8.115 3.205 1.064
Pd 7.225 5.199 3.255
```

Summary:
VASP energy (eV/cell): -43.72
ΔE_f (raw) (eV/atom): -0.312

[2]
The following is a DFT calculation (PBE) of crystalline SiAs3Pd at its relaxed geometry.

Geometry as extended XYZ:
```
5
Lattice="4.691 0.000 0.000 0.000 4.691 0.000 0.000 0.000 4.691" Properties=species:S:1:pos:R:3 pbc="T T T"
As 0.000 2.345 0.000
As 0.000 0.000 2.345
As 2.345 0.000 0.000
Si 0.000 0.000 0.000
Pd 2.345 2.345 2.345
```

Summary:
VASP energy (eV/cell): -21.01
ΔE_f (raw) (eV/atom): 0.711

[3]
The following is a DFT calculation (PBE) of crystalline Si2AsPd2 at its relaxed geometry.

Geometry as extended XYZ:
```
10
Lattice="7.433 0.000 0.000 0.000 7.433 0.000 0.000 0.000 2.860" Properties=species:S:1:pos:R:3 pbc="T T T"
As 0.000 0.000 0.000
As 3.717 3.717 0.000
Si 1.167 4.884 1.430
Si 4.884 6.266 1.430
Si 6.266 2.550 1.430
Si 2.550 1.167 1.430
Pd 2.699 6.416 0.000
Pd 6.416 4.734 0.000
Pd 4.734 1.018 0.000
Pd 1.018 2.699 0.000
```

Summary:
VASP energy (eV/cell): -52.90
ΔE_f (raw) (eV/atom): -0.114